Entry 1:
First-principles (PBE-GGA) data for a geometry-optimized TlCuCl2 structure, as listed in Alexandria via LeMat-Bulk.

The space group is I-4m2. The energy above the lowest structure with this stoichiometry comes out at 1.921 eV/f.u. As for the total DFT energy (no corrections): -2.780 eV per atom.

Cell lengths 7.1416, 7.1416, 7.1416 Å; angles 146.95, 146.95, 47.44 degrees
Fractional coordinates of all 4 atoms:
Tl  0.7500  0.2500  0.5000
Cl  0.2500  0.7500  0.5000
Cl  0.0000  0.0000  0.0000
Cu  0.5000  0.5000  0.0000

Entry 2:
First-principles (PBE-GGA) data for a geometry-optimized TlCu3Cl8 structure, as listed in Alexandria via LeMat-Bulk.

The space group is P-3. The energy above the lowest structure with this stoichiometry comes out at 0.768 eV/f.u. As for the total DFT energy (no corrections): -2.922 eV per atom.

Cell lengths 6.3999, 6.3999, 8.6994 Å; angles 90.00, 90.00, 120.00 degrees
Fractional coordinates of all 12 atoms:
Cl  0.6922  0.9775  0.1622
Cl  0.2853  0.3078  0.1622
Cl  0.7147  0.6922  0.8378
Cl  0.9775  0.2853  0.8378
Cl  0.6667  0.3333  0.5178
Cl  0.0225  0.7147  0.1622
Cl  0.3078  0.0225  0.8378
Cl  0.3333  0.6667  0.4822
Cu  0.0000  0.0000  0.0000
Cu  0.6667  0.3333  0.7696
Cu  0.3333  0.6667  0.2304
Tl  0.0000  0.0000  0.5000

Entry 3:
First-principles (PBE-GGA) data for a geometry-optimized TlCu2Cl structure, as listed in Alexandria via LeMat-Bulk.

The space group is Immm. The energy above the lowest structure with this stoichiometry comes out at 0.679 eV/f.u. As for the total DFT energy (no corrections): -2.937 eV per atom.

Cell lengths 5.3400, 5.3400, 5.3400 Å; angles 144.85, 112.89, 78.08 degrees
Fractional coordinates of all 4 atoms:
Cu  0.9842  0.9842  0.0000
Cu  0.5158  0.5158  0.0000
Cl  0.7500  0.2500  0.5000
Tl  0.2500  0.7500  0.5000

Entry 4:
First-principles (PBE-GGA) data for a geometry-optimized TlCuCl2 structure, as listed in Alexandria via LeMat-Bulk.

The space group is R-3m. The energy above the lowest structure with this stoichiometry comes out at 0.637 eV/f.u. As for the total DFT energy (no corrections): -3.101 eV per atom.

Cell lengths 7.5331, 7.5331, 7.5331 Å; angles 29.84, 29.84, 29.84 degrees
Fractional coordinates of all 4 atoms:
Cu  0.2500  0.2500  0.2500
Tl  0.7500  0.7500  0.7500
Cl  0.5226  0.5226  0.5226
Cl  0.9774  0.9774  0.9774

Entry 5:
First-principles (PBE-GGA) data for a geometry-optimized TlCuCl2 structure, as listed in Alexandria via LeMat-Bulk.

The space group is R3m. The energy above the lowest structure with this stoichiometry comes out at 0.484 eV/f.u. As for the total DFT energy (no corrections): -3.139 eV per atom.

Cell lengths 3.9861, 3.9861, 8.4474 Å; angles 76.35, 76.35, 60.00 degrees
Fractional coordinates of all 4 atoms:
Tl  0.4975  0.4975  0.5076
Cl  0.2921  0.2921  0.1236
Cl  0.0940  0.0940  0.7179
Cu  0.6164  0.6164  0.1508

Entry 6:
First-principles (PBE-GGA) data for a geometry-optimized TlCu2Cl structure, as listed in Alexandria via LeMat-Bulk.

The space group is P4/mmm. The energy above the lowest structure with this stoichiometry comes out at 0.956 eV/f.u. As for the total DFT energy (no corrections): -2.868 eV per atom.

Cell lengths 3.6711, 3.6712, 6.0782 Å; angles 90.00, 90.00, 90.00 degrees
Fractional coordinates of all 4 atoms:
Tl  0.5000  0.5000  0.2500
Cu  0.0000  0.0000  0.4490
Cu  0.0000  0.0000  0.0510
Cl  0.5000  0.5000  0.7500

Entry 7:
First-principles (PBE-GGA) data for a geometry-optimized TlCu2Cl4 structure, as listed in Alexandria via LeMat-Bulk.

The space group is P-42m. The energy above the lowest structure with this stoichiometry comes out at 0.000 eV/f.u. As for the total DFT energy (no corrections): -3.200 eV per atom.

Cell lengths 5.3258, 5.3258, 7.4387 Å; angles 90.00, 90.00, 90.00 degrees
Fractional coordinates of all 7 atoms:
Cu  0.5000  0.0000  0.5000
Cu  0.0000  0.5000  0.5000
Tl  0.0000  0.0000  0.0000
Cl  0.7410  0.7410  0.3215
Cl  0.2590  0.2590  0.3215
Cl  0.7410  0.2590  0.6785
Cl  0.2590  0.7410  0.6785

Entry 8:
First-principles (PBE-GGA) data for a geometry-optimized Tl2CuCl structure, as listed in Alexandria via LeMat-Bulk.

The space group is F-43m. The energy above the lowest structure with this stoichiometry comes out at 1.167 eV/f.u. As for the total DFT energy (no corrections): -2.565 eV per atom.

Cell lengths 5.2920, 5.2920, 5.2920 Å; angles 60.00, 60.00, 60.00 degrees
Fractional coordinates of all 4 atoms:
Tl  0.0000  0.0000  0.0000
Tl  0.2500  0.2500  0.2500
Cu  0.7500  0.7500  0.7500
Cl  0.5000  0.5000  0.5000

Entry 9:
First-principles (PBE-GGA) data for a geometry-optimized Tl2CuCl structure, as listed in Alexandria via LeMat-Bulk.

The space group is Pm. The energy above the lowest structure with this stoichiometry comes out at 0.000 eV/f.u. As for the total DFT energy (no corrections): -2.857 eV per atom.

Cell lengths 6.0592, 4.0996, 4.4579 Å; angles 89.99, 90.00, 90.00 degrees
Fractional coordinates of all 4 atoms:
Cu  0.5000  0.8767  0.8731
Cl  0.0000  0.3746  0.3764
Tl  0.0000  0.8748  0.8763
Tl  0.5000  0.3739  0.3742

Entry 10:
First-principles (PBE-GGA) data for a geometry-optimized TlCu2Cl structure, as listed in Alexandria via LeMat-Bulk.

The space group is Cm. The energy above the lowest structure with this stoichiometry comes out at 0.000 eV/f.u. As for the total DFT energy (no corrections): -3.107 eV per atom.

Cell lengths 6.2750, 6.2750, 4.4983 Å; angles 92.75, 92.75, 31.19 degrees
Fractional coordinates of all 4 atoms:
Cu  0.6655  0.6655  0.0106
Cu  0.0164  0.0164  0.9900
Cl  0.2970  0.2970  0.0085
Tl  0.5211  0.5211  0.4909

Entry 11:
First-principles (PBE-GGA) data for a geometry-optimized TlCu2Cl structure, as listed in Alexandria via LeMat-Bulk.

The space group is Fm-3m. The energy above the lowest structure with this stoichiometry comes out at 1.654 eV/f.u. As for the total DFT energy (no corrections): -2.694 eV per atom.

Cell lengths 4.7821, 4.7821, 4.7821 Å; angles 60.00, 60.00, 60.00 degrees
Fractional coordinates of all 4 atoms:
Tl  0.5000  0.5000  0.5000
Cl  0.0000  0.0000  0.0000
Cu  0.7500  0.7500  0.7500
Cu  0.2500  0.2500  0.2500

Entry 12:
First-principles (PBE-GGA) data for a geometry-optimized TlCu2Cl structure, as listed in Alexandria via LeMat-Bulk.

The space group is P2/m. The energy above the lowest structure with this stoichiometry comes out at 0.884 eV/f.u. As for the total DFT energy (no corrections): -2.886 eV per atom.

Cell lengths 3.2869, 5.8042, 6.0958 Å; angles 41.32, 90.00, 90.00 degrees
Fractional coordinates of all 4 atoms:
Cl  0.0000  0.0000  0.5000
Tl  0.5000  0.5000  0.5000
Cu  0.5000  0.5000  0.0000
Cu  0.0000  0.0000  0.0000

Entry 13:
First-principles (PBE-GGA) data for a geometry-optimized Tl3Cu2Cl4 structure, as listed in Alexandria via LeMat-Bulk.

The space group is C2/c. As for the total DFT energy (no corrections): -3.072 eV per atom.

Cell lengths 6.5669, 9.2154, 9.2154 Å; angles 64.87, 97.69, 97.69 degrees
Fractional coordinates of all 18 atoms:
Tl  0.4669  0.2740  0.9159
Tl  0.7500  0.4532  0.5468
Tl  0.2500  0.5468  0.4532
Tl  0.0331  0.0841  0.7260
Tl  0.5331  0.7260  0.0841
Tl  0.9669  0.9159  0.2740
Cl  0.6146  0.3704  0.2121
Cl  0.0524  0.6935  0.0509
Cl  0.1146  0.2121  0.3704
Cl  0.8854  0.7879  0.6296
Cl  0.3854  0.6296  0.7879
Cl  0.9476  0.3065  0.9491
Cl  0.4476  0.9491  0.3065
Cl  0.5524  0.0509  0.6935
Cu  0.9769  0.4263  0.1625
Cu  0.5231  0.8375  0.5737
Cu  0.4769  0.1625  0.4263
Cu  0.0231  0.5737  0.8375

Entry 14:
First-principles (PBE-GGA) data for a geometry-optimized Tl2Cu3Cl9 structure, as listed in Alexandria via LeMat-Bulk.

The space group is P6_3/m. As for the total DFT energy (no corrections): -2.975 eV per atom.

Cell lengths 8.1413, 8.1413, 14.0617 Å; angles 90.00, 90.00, 120.00 degrees
Fractional coordinates of all 28 atoms:
Cu  0.7496  0.9955  0.7500
Cu  0.2460  0.2504  0.7500
Cu  0.2504  0.0045  0.2500
Cu  0.0045  0.7540  0.7500
Cu  0.9955  0.2460  0.2500
Cu  0.7540  0.7496  0.2500
Tl  0.6667  0.3333  0.9980
Tl  0.6667  0.3333  0.5020
Tl  0.3333  0.6667  0.4980
Tl  0.3333  0.6667  0.0020
Cl  0.3009  0.0055  0.7500
Cl  0.7046  0.6991  0.7500
Cl  0.9955  0.3405  0.4011
Cl  0.6550  0.9955  0.9011
Cl  0.0045  0.6595  0.5989
Cl  0.6550  0.9955  0.5989
Cl  0.6991  0.9945  0.2500
Cl  0.3405  0.3450  0.9011
Cl  0.6595  0.6550  0.0989
Cl  0.0045  0.6595  0.9011
Cl  0.3450  0.0045  0.4011
Cl  0.3450  0.0045  0.0989
Cl  0.9955  0.3405  0.0989
Cl  0.9945  0.2954  0.7500
Cl  0.0055  0.7046  0.2500
Cl  0.3405  0.3450  0.5989
Cl  0.2954  0.3009  0.2500
Cl  0.6595  0.6550  0.4011

Entry 15:
First-principles (PBE-GGA) data for a geometry-optimized TlCu2Cl5 structure, as listed in Alexandria via LeMat-Bulk.

The space group is P1. As for the total DFT energy (no corrections): -3.060 eV per atom.

Cell lengths 6.4845, 9.9339, 6.2357 Å; angles 61.75, 88.68, 128.46 degrees
Fractional coordinates of all 8 atoms:
Cl  0.9903  0.3347  0.6972
Cl  0.6125  0.4729  0.2029
Cl  0.1205  0.9844  0.1768
Cl  0.3622  0.7926  0.0564
Cl  0.7108  0.1481  0.3426
Cu  0.8981  0.4374  0.3354
Cu  0.5360  0.0772  0.0547
Tl  0.9926  0.9758  0.6880

Entry 16:
First-principles (PBE-GGA) data for a geometry-optimized Tl2CuCl structure, as listed in Alexandria via LeMat-Bulk.

The space group is I-42d. The energy above the lowest structure with this stoichiometry comes out at 0.400 eV/f.u. As for the total DFT energy (no corrections): -2.757 eV per atom.

Cell lengths 6.5243, 6.5243, 8.1644 Å; angles 66.45, 66.45, 90.00 degrees
Fractional coordinates of all 8 atoms:
Cl  0.5000  0.5000  0.0000
Cl  0.2500  0.7500  0.5000
Cu  0.7500  0.2500  0.5000
Cu  0.0000  0.0000  0.0000
Tl  0.6762  0.1250  0.2500
Tl  0.0738  0.6250  0.2500
Tl  0.3750  0.3238  0.7500
Tl  0.8750  0.9262  0.7500

Entry 17:
First-principles (PBE-GGA) data for a geometry-optimized TlCu2Cl4 structure, as listed in Alexandria via LeMat-Bulk.

The space group is C2/c. The energy above the lowest structure with this stoichiometry comes out at 0.119 eV/f.u. As for the total DFT energy (no corrections): -3.183 eV per atom.

Cell lengths 8.3391, 6.8630, 9.7519 Å; angles 74.82, 64.46, 52.55 degrees
Fractional coordinates of all 14 atoms:
Tl  0.7492  0.5015  0.5000
Tl  0.0010  0.9985  0.0000
Cl  0.2194  0.6618  0.7148
Cl  0.6843  0.1619  0.7843
Cl  0.1540  0.1610  0.2159
Cl  0.5962  0.3383  0.2843
Cl  0.5303  0.8389  0.7849
Cl  0.0651  0.3389  0.7160
Cl  0.6314  0.8382  0.2148
Cl  0.1191  0.6610  0.2849
Cu  0.8747  0.7504  0.7500
Cu  0.3752  0.7496  0.2500
Cu  0.3748  0.2504  0.7500
Cu  0.3752  0.2496  0.2500

Entry 18:
First-principles (PBE-GGA) data for a geometry-optimized TlCuCl2 structure, as listed in Alexandria via LeMat-Bulk.

The space group is C2/m. The energy above the lowest structure with this stoichiometry comes out at 0.000 eV/f.u. As for the total DFT energy (no corrections): -3.260 eV per atom.

Cell lengths 5.0157, 5.0157, 7.8370 Å; angles 109.75, 109.75, 59.70 degrees
Fractional coordinates of all 4 atoms:
Cu  0.7500  0.7500  0.7500
Tl  0.2500  0.2500  0.2500
Cl  0.8441  0.8441  0.0411
Cl  0.6559  0.6559  0.4589

Entry 19:
First-principles (PBE-GGA) data for a geometry-optimized TlCuCl4 structure, as listed in Alexandria via LeMat-Bulk.

The space group is F-43m. As for the total DFT energy (no corrections): -1.955 eV per atom.

Cell lengths 6.0636, 6.0636, 6.0636 Å; angles 60.00, 60.00, 60.00 degrees
Fractional coordinates of all 6 atoms:
Cl  0.3752  0.8743  0.3752
Cl  0.3752  0.3752  0.8743
Cl  0.3752  0.3752  0.3752
Cl  0.8743  0.3752  0.3752
Tl  0.0000  0.0000  0.0000
Cu  0.7500  0.7500  0.7500

Entry 20:
First-principles (PBE-GGA) data for a geometry-optimized TlCu2Cl3 structure, as listed in Alexandria via LeMat-Bulk.

The space group is C2/m. The energy above the lowest structure with this stoichiometry comes out at 0.106 eV/f.u. As for the total DFT energy (no corrections): -3.274 eV per atom.

Cell lengths 3.9354, 7.0063, 12.4069 Å; angles 114.28, 99.13, 90.00 degrees
Fractional coordinates of all 12 atoms:
Cl  0.2327  0.2590  0.4654
Cl  0.0392  0.8032  0.0783
Cl  0.6024  0.3285  0.2049
Cl  0.3976  0.6715  0.7951
Cl  0.9608  0.1968  0.9217
Cl  0.7673  0.7410  0.5346
Cu  0.3053  0.6752  0.6106
Cu  0.0530  0.1493  0.1059
Cu  0.9470  0.8507  0.8941
Cu  0.6947  0.3248  0.3894
Tl  0.6356  0.8351  0.2713
Tl  0.3644  0.1649  0.7287

Entry 21:
First-principles (PBE-GGA) data for a geometry-optimized TlCuCl2 structure, as listed in Alexandria via LeMat-Bulk.

The space group is Fm-3m. The energy above the lowest structure with this stoichiometry comes out at 1.841 eV/f.u. As for the total DFT energy (no corrections): -2.800 eV per atom.

Cell lengths 5.0924, 5.0924, 5.0924 Å; angles 60.00, 60.00, 60.00 degrees
Fractional coordinates of all 4 atoms:
Tl  0.5000  0.5000  0.5000
Cl  0.7500  0.7500  0.7500
Cl  0.2500  0.2500  0.2500
Cu  0.0000  0.0000  0.0000

Entry 22:
First-principles (PBE-GGA) data for a geometry-optimized TlCuCl2 structure, as listed in Alexandria via LeMat-Bulk.

The space group is I-42d. The energy above the lowest structure with this stoichiometry comes out at 0.131 eV/f.u. As for the total DFT energy (no corrections): -3.228 eV per atom.

Cell lengths 7.2967, 7.2967, 6.4265 Å; angles 55.41, 55.41, 90.00 degrees
Fractional coordinates of all 8 atoms:
Cl  0.2198  0.6250  0.2500
Cl  0.3750  0.4698  0.7500
Cl  0.8750  0.7802  0.7500
Cl  0.5302  0.1250  0.2500
Cu  0.2500  0.7500  0.5000
Cu  0.5000  0.5000  0.0000
Tl  0.7500  0.2500  0.5000
Tl  0.0000  0.0000  0.0000

Entry 23:
First-principles (PBE-GGA) data for a geometry-optimized Tl2CuCl5 structure, as listed in Alexandria via LeMat-Bulk.

The space group is I4mm. The energy above the lowest structure with this stoichiometry comes out at 0.000 eV/f.u. As for the total DFT energy (no corrections): -2.941 eV per atom.

Cell lengths 6.8283, 6.8283, 6.8283 Å; angles 95.46, 116.90, 116.90 degrees
Fractional coordinates of all 8 atoms:
Cu  0.0000  0.0107  0.0107
Cl  0.0000  0.2922  0.2922
Cl  0.5613  0.7607  0.7607
Cl  0.4387  0.1994  0.1994
Cl  0.0000  0.7607  0.1994
Cl  0.0000  0.1994  0.7607
Tl  0.5000  0.2496  0.7496
Tl  0.5000  0.7496  0.2496

Entry 24:
First-principles (PBE-GGA) data for a geometry-optimized Tl4Cu3Cl12 structure, as listed in Alexandria via LeMat-Bulk.

The space group is Im-3. As for the total DFT energy (no corrections): -2.968 eV per atom.

Cell lengths 9.3414, 9.3414, 9.3414 Å; angles 109.47, 109.47, 109.47 degrees
Fractional coordinates of all 19 atoms:
Cl  0.1463  0.3526  0.4990
Cl  0.2063  0.8537  0.3526
Cl  0.8537  0.6474  0.5010
Cl  0.3526  0.2063  0.8537
Cl  0.1463  0.6474  0.7937
Cl  0.6474  0.5010  0.8537
Cl  0.7937  0.1463  0.6474
Cl  0.5010  0.8537  0.6474
Cl  0.3526  0.4990  0.1463
Cl  0.8537  0.3526  0.2063
Cl  0.6474  0.7937  0.1463
Cl  0.4990  0.1463  0.3526
Cu  0.0000  0.5000  0.5000
Cu  0.5000  0.0000  0.5000
Cu  0.5000  0.5000  0.0000
Tl  0.5000  0.5000  0.5000
Tl  0.0000  0.5000  0.0000
Tl  0.5000  0.0000  0.0000
Tl  0.0000  0.0000  0.5000

Q: Which formation energy without anion corrections values were calculated for the entries above? A: -0.241 -0.470 0.164 -0.562 -0.600 0.233 -0.636 0.103 -0.188 -0.006 0.408 0.215 -0.552 -0.572 -0.586 -0.088 -0.619 -0.721 0.353 -0.591 -0.261 -0.689 -0.683 -0.657, in eV/atom.